Pr6SmHo, optimized geometry, DFT PBE; electronic total energy = -4.731 eV/atom; D(E_F) = 13.16 states/eV/cell; energy of formation = 0.02 eV per atom; space group = Fmmm, No. 69
1.0
6.138 -0.141 -1.699
-2.497 5.608 -1.703
0.054 0.086 8.239
Pr Ho Sm
6 1 1
Direct
0.377 0.877 0.754
0.251 0.251 0.501
0.623 0.123 0.246
0.749 0.749 0.499
0.123 0.623 0.246
0.877 0.377 0.754
0.500 0.500 0.000
0.000 0.000 0.000


Ba7NaAu5, optimized geometry, DFT PBE; electronic total energy = -2.947 eV/atom; D(E_F) = 15.39 states/eV/cell; energy of formation = -0.55 eV per atom; space group = C2/m, No. 12
1.0
4.818 0.000 0.000
-2.409 8.012 0.002
0.000 -0.061 28.920
Ba Au Na
14 10 2
Direct
0.094 0.188 0.604
0.906 0.813 0.396
0.483 0.966 0.250
0.830 0.661 0.835
0.634 0.269 0.035
0.517 0.035 0.750
0.366 0.732 0.965
0.169 0.337 0.335
0.093 0.186 0.896
0.634 0.268 0.465
0.367 0.733 0.535
0.170 0.340 0.165
0.832 0.664 0.665
0.907 0.815 0.104
0.461 0.923 0.860
0.000 0.000 0.000
0.539 0.078 0.140
0.273 0.545 0.069
0.729 0.457 0.569
0.000 0.001 0.500
0.538 0.076 0.360
0.728 0.456 0.931
0.272 0.544 0.431
0.463 0.926 0.640
0.212 0.424 0.749
0.789 0.577 0.251


Nd6Tl3In, optimized geometry, DFT PBE; polymorph energy (0 for the lowest one) = 96.0 meV per atom; electronic total energy = -4.064 eV/atom; D(E_F) = 21.02 states/eV/cell; energy of formation = -0.22 eV per atom; space group = P2_1/m, No. 11
1.0
3.782 0.000 0.000
0.000 12.023 -0.016
0.000 -4.039 14.197
Nd Tl In
12 6 2
Direct
0.250 0.871 0.532
0.750 0.856 0.126
0.750 0.392 0.086
0.250 0.492 0.320
0.250 0.608 0.914
0.250 0.144 0.874
0.750 0.817 0.759
0.750 0.508 0.680
0.750 0.129 0.468
0.750 0.737 0.329
0.250 0.183 0.241
0.250 0.263 0.671
0.250 0.621 0.139
0.250 0.892 0.949
0.750 0.108 0.051
0.250 0.365 0.484
0.750 0.379 0.861
0.750 0.635 0.516
0.250 0.956 0.318
0.750 0.044 0.682


Er6TmTe2, optimized geometry, DFT PBE; raw formation energy = -0.406 eV per atom; electronic total energy = -4.643 eV/atom; D(E_F) = 9.13 states/eV/cell; space group = C2/m, No. 12
1.0
5.683 0.000 0.000
-2.842 5.865 -0.998
0.000 -4.235 8.508
Tm Te Er
1 2 6
Direct
0.000 0.000 0.500
0.598 0.195 0.784
0.402 0.805 0.216
0.350 0.699 0.826
0.284 0.568 0.430
0.076 0.151 0.905
0.650 0.301 0.174
0.716 0.432 0.570
0.924 0.849 0.095


ZrF, optimized geometry, DFT PBE; raw formation energy = -1.708 eV per atom; polymorph energy (0 for the lowest one) = 551.5 meV per atom; electronic total energy = -6.918 eV/atom; D(E_F) = 6.36 states/eV/cell; space group = Pmn2_1, No. 31
1.0
9.235 0.000 0.000
0.000 4.037 0.000
0.000 0.000 4.977
Zr F
6 6
Direct
0.000 0.679 0.748
0.667 0.916 0.746
0.833 0.084 0.246
0.333 0.916 0.746
0.167 0.084 0.246
0.500 0.321 0.248
0.500 0.412 0.740
0.271 0.565 0.261
0.729 0.565 0.261
0.229 0.435 0.761
0.000 0.588 0.240
0.771 0.435 0.761


Pm5TePb4, optimized geometry, DFT PBE; raw formation energy = -0.663 eV per atom; polymorph energy (0 for the lowest one) = 10.2 meV per atom; electronic total energy = -4.836 eV/atom; D(E_F) = 8.00 states/eV/cell; space group = Immm, No. 71
1.0
4.300 0.000 -0.830
-0.330 6.164 -1.711
0.154 0.111 12.359
Pb Pm Te
4 5 1
Direct
0.401 0.401 0.801
0.200 0.200 0.400
0.800 0.800 0.600
0.599 0.599 0.199
0.597 0.097 0.195
0.000 0.500 0.000
0.199 0.699 0.398
0.801 0.301 0.602
0.403 0.903 0.805
0.000 0.000 0.000


RbMg7Cd12, optimized geometry, DFT PBE; electronic total energy = -1.171 eV/atom; D(E_F) = 8.18 states/eV/cell; energy of formation = -0.02 eV per atom; space group = R-3m, No. 166
1.0
-2.684 6.407 -2.838
-5.065 -6.626 -3.555
-0.924 0.668 8.994
Cd Mg Rb
12 7 1
Direct
0.604 0.000 0.664
0.266 0.266 0.532
0.396 0.000 0.336
0.059 0.664 0.664
0.604 0.664 0.000
0.000 0.266 0.734
0.266 0.532 0.266
0.396 0.336 0.000
0.000 0.734 0.266
0.941 0.336 0.336
0.734 0.734 0.468
0.734 0.468 0.734
0.204 0.000 0.654
0.500 0.000 0.000
0.796 0.000 0.346
0.204 0.654 0.000
0.796 0.346 0.000
0.449 0.654 0.654
0.551 0.346 0.346
0.000 0.000 0.000


MgGeCl3, optimized geometry, DFT PBE; raw formation energy = -0.578 eV per atom; polymorph energy (0 for the lowest one) = 257.0 meV per atom; electronic total energy = -2.928 eV/atom; D(E_F) = 0.75 states/eV/cell; space group = Pm-3m, No. 221
1.0
-4.836 1.778 -0.738
-1.798 -3.459 3.450
0.688 3.460 3.828
Ge Cl Mg
1 3 1
Direct
0.000 0.000 0.000
0.000 0.000 0.500
0.000 0.500 0.000
0.500 0.000 0.000
0.500 0.500 0.500


NaIn3O, optimized geometry, DFT PBE; raw formation energy = 0.817 eV per atom; polymorph energy (0 for the lowest one) = 1062.1 meV per atom; electronic total energy = -2.082 eV/atom; D(E_F) = 4.06 states/eV/cell; space group = Pm-3m, No. 221
1.0
-4.349 2.941 -1.782
-3.282 -2.689 3.569
1.029 3.855 3.850
Na O In
1 1 3
Direct
0.000 0.000 0.000
0.500 0.500 0.500
0.000 0.500 0.000
0.500 0.000 0.000
0.000 0.000 0.500


Tl2AgPb, optimized geometry, DFT PBE; electronic total energy = -2.709 eV/atom; D(E_F) = 1.37 states/eV/cell; energy of formation = 0.11 eV per atom; space group = P2/m, No. 10
1.0
5.398 0.000 0.000
0.000 3.402 -0.031
0.000 1.725 6.038
Tl Ag Pb
2 1 1
Direct
0.000 0.111 0.014
0.000 0.389 0.486
0.500 0.250 0.250
0.500 0.750 0.750


BeAl2IF, optimized geometry, DFT PBE; raw formation energy = 0.175 eV per atom; polymorph energy (0 for the lowest one) = 182.0 meV per atom; electronic total energy = -2.751 eV/atom; D(E_F) = 2.81 states/eV/cell; space group = P4/mmm, No. 123
1.0
4.289 0.000 0.000
0.000 6.136 0.000
0.000 0.000 4.289
I Al F Be
1 2 1 1
Direct
0.000 0.500 0.000
0.000 0.000 0.500
0.500 0.000 0.000
0.000 0.000 0.000
0.500 0.500 0.500


Li2CoH6Pd, optimized geometry, DFT PBE; electronic total energy = -3.863 eV/atom; D(E_F) = 2.26 states/eV/cell; space group = P-1, No. 2
1.0
4.744 -0.024 0.009
-0.024 4.747 0.009
2.366 2.368 3.269
Pd H Li Co
1 6 2 1
Direct
0.500 0.500 0.000
0.238 0.766 0.002
0.810 0.812 0.475
0.732 0.727 0.068
0.190 0.188 0.525
0.268 0.273 0.932
0.762 0.234 0.998
0.749 0.251 0.501
0.251 0.749 0.499
0.000 0.000 0.000


What is the formula in the fifth record?
ZrF


Copy entry 12 word for word.
Li2CoH6Pd, optimized geometry, DFT PBE; electronic total energy = -3.863 eV/atom; D(E_F) = 2.26 states/eV/cell; space group = P-1, No. 2
1.0
4.744 -0.024 0.009
-0.024 4.747 0.009
2.366 2.368 3.269
Pd H Li Co
1 6 2 1
Direct
0.500 0.500 0.000
0.238 0.766 0.002
0.810 0.812 0.475
0.732 0.727 0.068
0.190 0.188 0.525
0.268 0.273 0.932
0.762 0.234 0.998
0.749 0.251 0.501
0.251 0.749 0.499
0.000 0.000 0.000